Entry 1:
LiPm3N: relaxed, GGA-PBE.

Output
The calculation puts the total magnetization at 0.00 μB/f.u. For the total energy, the calculation gives -26.85 eV for the cell shown. The formation energy from raw total energies is -0.4708 eV/atom.

abc: 5.019 5.019 5.019
angles: 90.00 90.00 90.00
Space group Pm-3m (No. 221)
Unique sites:
Li 0.000 0.000 0.000 (multiplicity 1)
Pm 0.000 0.500 0.500 (multiplicity 3)
N 0.500 0.500 0.500 (multiplicity 1)

Entry 2:
Ba2In3Sn2: relaxed, GGA-PBE.

Output
The calculation puts the total magnetization at 0.00 μB/f.u. For the total energy, the calculation gives -45.58 eV for the cell shown.

abc: 12.225 4.995 7.875
angles: 90.00 99.88 90.00
Space group C2/m (No. 12)
Unique sites:
Ba 0.121 0.000 0.321 (multiplicity 4)
In 0.000 0.500 0.000 (multiplicity 2)
In 0.192 0.000 0.879 (multiplicity 4)
Sn 0.090 0.500 0.649 (multiplicity 4)

Entry 3:
GaBPtRh2: relaxed, GGA-PBE.

Output
The calculation puts the total magnetization at 0.00 μB/f.u. For the total energy, the calculation gives -32.09 eV for the cell shown.

abc: 4.109 4.109 4.129
angles: 90.00 90.00 90.00
Space group P4/mmm (No. 123)
Unique sites:
Ga 0.000 0.000 0.000 (multiplicity 1)
B 0.500 0.500 0.500 (multiplicity 1)
Pt 0.500 0.500 0.000 (multiplicity 1)
Rh 0.000 0.500 0.500 (multiplicity 2)